No. 1
Entry from the Alexandria database: a relaxed PmEuCu crystal (PBE).

* calculated volume: 85.4 Å³/cell
* formation enthalpy at 0 K: -0.06 eV/atom
* N(E_F): 3.83 states/eV/cell

Unit cell a=3.640 b=3.640 c=6.942 alpha=105.20 beta=105.20 gamma=90.00
Positions (direct):
Cu  0.676  0.676  0.352
Pm  0.296  0.296  0.592
Eu  0.028  0.028  0.056



No. 2
Entry from the Alexandria database: a relaxed Al2P2N crystal (PBE).

* calculated volume: 82.0 Å³/cell
* ΔE_f (raw): 298 meV per atom
* N(E_F): 1.90 states/eV/cell

Unit cell a=5.026 b=5.026 c=4.814 alpha=58.54 beta=58.54 gamma=90.00
Positions (direct):
P  0.746  0.746  0.508
P  0.254  0.254  0.492
N  0.000  0.000  0.000
Al  0.250  0.750  0.500
Al  0.750  0.250  0.500



No. 3
Entry from the Alexandria database: a relaxed NbSi2GeTe crystal (PBE).

* calculated volume: 130.2 Å³/cell
* ΔE_f (raw): 722 meV per atom
* N(E_F): 3.89 states/eV/cell

Unit cell a=4.908 b=5.405 c=4.908 alpha=90.00 beta=90.00 gamma=90.00
Positions (direct):
Te  0.000  0.500  0.000
Ge  0.500  0.500  0.500
Si  0.000  0.000  0.500
Si  0.500  0.000  0.000
Nb  0.000  0.000  0.000



The final energy results, record by record, are as follows: -6.43, -5.03, -5.01 eV/atom.